# 1
{
  "formula": "CaMgPCl2",
  "functional": "PBE",
  "state": "optimized geometry",
  "lattice": [[5.086, 0.000, 0.000], [0.000, 5.086, 0.000], [0.000, 0.000, 5.922]],
  "species": ["Ca", "Mg", "P", "Cl", "Cl"],
  "fractional_positions": [[0.000, 0.000, 0.000], [0.500, 0.500, 0.500], [0.000, 0.000, 0.500], [0.000, 0.500, 0.000], [0.500, 0.000, 0.000]],
  "e_above_lowest_polymorph_mev_per_atom": 357,
  "m_tot_mub_per_fu": 1.0,
  "e_tot_ev_per_atom": -3.21,
  "rho_g_cm3": 1.80,
  "raw_formation_energy_mev_per_atom": -672,
  "dos_ef_per_ev_cell": 2.8
}



# 2
{
  "formula": "CaMgPCl2",
  "functional": "PBE",
  "state": "optimized geometry",
  "lattice": [[4.782, 0.000, 0.000], [0.000, 4.782, 0.000], [0.000, 0.000, 5.337]],
  "species": ["Ca", "Mg", "P", "Cl", "Cl"],
  "fractional_positions": [[0.000, 0.000, 0.000], [0.500, 0.500, 0.500], [0.500, 0.500, 0.000], [0.000, 0.500, 0.500], [0.500, 0.000, 0.500]],
  "e_above_lowest_polymorph_mev_per_atom": 0,
  "m_tot_mub_per_fu": 1.0,
  "e_tot_ev_per_atom": -3.57,
  "rho_g_cm3": 2.26,
  "raw_formation_energy_mev_per_atom": -1029,
  "dos_ef_per_ev_cell": 3.3
}



# 3
{
  "formula": "CaMgP2Cl",
  "functional": "PBE",
  "state": "optimized geometry",
  "lattice": [[5.346, 0.000, 0.000], [0.000, 5.346, 0.000], [0.000, 0.000, 5.113]],
  "species": ["Ca", "Mg", "P", "P", "Cl"],
  "fractional_positions": [[0.000, 0.000, 0.000], [0.500, 0.500, 0.500], [0.000, 0.500, 0.000], [0.500, 0.000, 0.000], [0.000, 0.000, 0.500]],
  "e_above_lowest_polymorph_mev_per_atom": 550,
  "m_tot_mub_per_fu": 1.1,
  "e_tot_ev_per_atom": -3.07,
  "rho_g_cm3": 1.84,
  "raw_formation_energy_mev_per_atom": 183,
  "dos_ef_per_ev_cell": 3.0
}



# 4
{
  "formula": "CaMgP2Cl",
  "functional": "PBE",
  "state": "optimized geometry",
  "lattice": [[4.806, 0.000, 0.000], [0.000, 4.806, 0.000], [0.000, 0.000, 5.141]],
  "species": ["Ca", "Mg", "P", "P", "Cl"],
  "fractional_positions": [[0.000, 0.000, 0.000], [0.500, 0.500, 0.500], [0.000, 0.500, 0.500], [0.500, 0.000, 0.500], [0.500, 0.500, 0.000]],
  "e_above_lowest_polymorph_mev_per_atom": 0,
  "m_tot_mub_per_fu": 0.3,
  "e_tot_ev_per_atom": -3.62,
  "rho_g_cm3": 2.26,
  "raw_formation_energy_mev_per_atom": -368,
  "dos_ef_per_ev_cell": 4.7
}



# 5
{
  "formula": "Rb3CaMg2Cl9",
  "functional": "PBE",
  "state": "optimized geometry",
  "lattice": [[7.314, 0.000, 0.000], [-3.657, 6.334, 0.000], [0.000, 0.000, 8.991]],
  "species": ["Rb", "Rb", "Rb", "Ca", "Mg", "Mg", "Cl", "Cl", "Cl", "Cl", "Cl", "Cl", "Cl", "Cl", "Cl"],
  "fractional_positions": [[0.000, 0.000, 0.000], [0.333, 0.667, 0.673], [0.667, 0.333, 0.327], [0.000, 0.000, 0.500], [0.333, 0.667, 0.160], [0.667, 0.333, 0.840], [0.000, 0.500, 0.000], [0.173, 0.346, 0.323], [0.173, 0.827, 0.323], [0.346, 0.173, 0.677], [0.500, 0.000, 0.000], [0.500, 0.500, 0.000], [0.654, 0.827, 0.323], [0.827, 0.173, 0.677], [0.827, 0.654, 0.677]],
  "m_tot_mub_per_fu": 0.0,
  "e_tot_ev_per_atom": -3.67,
  "rho_g_cm3": 2.65,
  "raw_formation_energy_mev_per_atom": -2019,
  "dos_ef_per_ev_cell": 0.0
}



# 6
{
  "formula": "Rb3Ca2MgCl9",
  "functional": "PBE",
  "state": "optimized geometry",
  "lattice": [[7.487, 0.000, 0.000], [-3.743, 6.484, 0.000], [0.000, 0.000, 9.188]],
  "species": ["Rb", "Rb", "Rb", "Ca", "Ca", "Mg", "Cl", "Cl", "Cl", "Cl", "Cl", "Cl", "Cl", "Cl", "Cl"],
  "fractional_positions": [[0.000, 0.000, 0.000], [0.333, 0.667, 0.666], [0.667, 0.333, 0.334], [0.333, 0.667, 0.176], [0.667, 0.333, 0.824], [0.000, 0.000, 0.500], [0.000, 0.500, 0.000], [0.160, 0.319, 0.342], [0.160, 0.840, 0.342], [0.319, 0.160, 0.658], [0.500, 0.000, 0.000], [0.500, 0.500, 0.000], [0.681, 0.840, 0.342], [0.840, 0.160, 0.658], [0.840, 0.681, 0.658]],
  "m_tot_mub_per_fu": 0.0,
  "e_tot_ev_per_atom": -3.80,
  "rho_g_cm3": 2.53,
  "raw_formation_energy_mev_per_atom": -2130,
  "dos_ef_per_ev_cell": 0.0
}